1.
This record from Alexandria via LeMat-Bulk describes a relaxed structure of CePrSnPd. The functional is GGA-PBE.

Geometry as POSCAR:
```
CePrSnPd
1.0
-1.2241 3.3783 3.9541
-5.1027 0.7319 1.4047
-1.7822 -1.8869 4.6701
Sn Pd Pr Ce
1 1 1 1
direct
0.2500 0.2500 0.2500
0.7500 0.7500 0.7500
0.5000 0.5000 0.5000
0.0000 0.0000 0.0000
```



2.
This record from Alexandria via LeMat-Bulk describes a relaxed structure of CePrTlPd. The functional is GGA-PBE.

Geometry as POSCAR:
```
CePrTlPd
1.0
5.3471 0.0000 0.0000
2.6735 4.6307 0.0000
2.6735 1.5436 4.3659
Tl Pd Ce Pr
1 1 1 1
direct
0.5000 0.5000 0.5000
0.0000 0.0000 0.0000
0.2500 0.2500 0.2500
0.7500 0.7500 0.7500
```



3.
This record from Alexandria via LeMat-Bulk describes a relaxed structure of CePd2Pt2. The functional is GGA-PBE.

Geometry as POSCAR:
```
CePd2Pt2
1.0
-4.5193 -1.4458 0.2318
2.7431 -0.1483 3.8757
-3.0424 9.9159 2.5326
Pt Pd Ce
4 4 2
direct
0.6667 0.3333 0.7500
0.0000 0.0000 0.5000
0.3333 0.6667 0.2500
0.0000 0.0000 0.0000
0.3333 0.6667 0.9973
0.3333 0.6667 0.5027
0.6667 0.3333 0.0027
0.6667 0.3333 0.4973
0.0000 0.0000 0.2500
0.0000 0.0000 0.7500
```

Excess energy over the best structure of this formula in the dataset   0.049 eV per atom



The calculation returns the following density values, one per record and in order: 7.79 9.09 11.83 g cm⁻³.
The calculation returns the following electronic total energy values, one per record and in order: -5.552 -4.943 -6.070 eV per atom.